1.
PmGaCu4 | PBE | optimized geometry

Geometry as POSCAR:
```
PmGaCu4
1.0
0.0000 3.6050 3.6050
3.6050 0.0000 3.6050
3.6050 3.6050 0.0000
Pm Ga Cu
1 1 4
Cartesian
0.0000 0.0000 0.0000
1.8025 1.8025 1.8025
4.4986 2.7114 2.7114
2.7114 4.4986 2.7114
2.7114 2.7114 4.4986
4.4986 4.4986 4.4986
```

Properties
N(E_F)   1.973 states/eV per cell
Final energy   -25.6 eV for the cell shown
SG   F-43m, No. 216


2.
PmGa3Cu | PBE | optimized geometry

Geometry as POSCAR:
```
PmGa3Cu
1.0
2.9746 -2.9793 0.0000
2.9746 2.9793 0.0000
-2.9648 0.0000 5.2670
Pm Ga Cu
1 3 1
Cartesian
0.0000 0.0000 0.0000
1.4974 1.4940 2.6411
0.0148 0.0000 4.2912
1.4974 -1.4940 2.6411
2.9791 0.0000 1.3926
```

Properties
N(E_F)   1.419 states/eV per cell
Final energy   -20.5 eV for the cell shown
SG   Cm, No. 8
Relative energy among the computed polymorphs   0 meV/atom


3.
PmGa12Cu6 | PBE | optimized geometry

Geometry as POSCAR:
```
PmGa12Cu6
1.0
5.6392 3.2558 2.9236
-5.6392 3.2558 2.9236
0.0000 -6.5116 2.9236
Pm Ga Cu
1 12 6
Cartesian
0.0000 0.0000 0.0000
-2.1869 -3.7878 4.3854
-4.3737 0.0000 4.3854
-1.4244 -0.8224 2.7485
1.4244 -0.8224 2.7485
0.0000 1.6447 2.7485
2.1869 -3.7878 4.3854
-2.1869 3.7878 4.3854
0.0000 -1.6447 6.0222
-1.4244 0.8224 6.0222
1.4244 0.8224 6.0222
4.3737 0.0000 4.3854
2.1869 3.7878 4.3854
-2.4134 -1.3934 5.0009
0.0000 -2.7868 3.7699
-2.4134 1.3934 3.7699
2.4134 -1.3934 5.0009
0.0000 2.7868 5.0009
2.4134 1.3934 3.7699
```

Properties
N(E_F)   4.968 states/eV per cell
Final energy   -67.3 eV for the cell shown
SG   R-3m, No. 166


no.,ΔE_f (eV per atom)
1,-0.240
2,-0.524
3,-0.089